Record 1
An optimized crystal structure of InTcRh. Source: Alexandria, functional PBE.

Symmetry: No. 12

Unit cell a=7.8215 b=2.9446 c=9.3569 alpha=90.00 beta=113.51 gamma=90.00
Last column: nearest neighbours and their distance in Å.
Fractional coordinates of all 12 atoms:
Rh  0.7536  0.0000  0.4874  4 Tc 2.63-2.85, 3 In 2.73-2.79
Rh  0.7536  0.5000  0.9874  4 Tc 2.63-2.85, 3 In 2.73-2.79
Rh  0.2464  0.0000  0.5126  4 Tc 2.63-2.85, 3 In 2.73-2.79
Rh  0.2464  0.5000  0.0126  4 Tc 2.63-2.85, 3 In 2.73-2.79
Tc  0.0427  0.0000  0.1539  3 Tc 2.61-2.69, 4 Rh 2.63-2.85
Tc  0.9573  0.0000  0.8461  3 Tc 2.61-2.69, 4 Rh 2.63-2.85
Tc  0.9573  0.5000  0.3461  3 Tc 2.61-2.69, 4 Rh 2.63-2.85
Tc  0.0427  0.5000  0.6539  3 Tc 2.61-2.69, 4 Rh 2.63-2.85
In  0.6136  0.5000  0.6698  5 Rh 2.73-3.03, 2 Tc 2.93, 3 In 2.94-2.96
In  0.6136  0.0000  0.1698  5 Rh 2.73-3.03, 2 Tc 2.93, 3 In 2.94-2.96
In  0.3864  0.5000  0.3302  5 Rh 2.73-3.03, 2 Tc 2.93, 3 In 2.94-2.96
In  0.3864  0.0000  0.8302  5 Rh 2.73-3.03, 2 Tc 2.93, 3 In 2.94-2.96

---

Record 2
An optimized crystal structure of InTcRh. Source: Alexandria, functional PBE.

Symmetry: No. 8

Unit cell a=5.9270 b=3.9770 c=8.5808 alpha=90.00 beta=100.99 gamma=90.00
Last column: nearest neighbours and their distance in Å.
Fractional coordinates of all 12 atoms:
Rh  0.1527  0.0000  0.3573  5 Tc 2.71-2.88, 4 In 2.79-2.87
Rh  0.8028  0.0000  0.6854  6 In 2.71-2.93, 3 Tc 2.76-3.03
Rh  0.1527  0.5000  0.8573  5 Tc 2.71-2.88, 4 In 2.79-2.87
Rh  0.8028  0.5000  0.1854  6 In 2.71-2.93, 3 Tc 2.76-3.03
In  0.9762  0.5000  0.5289  6 Rh 2.71-2.93, 3 Tc 2.77-3.00, 2 In 3.02
In  0.9762  0.0000  0.0289  6 Rh 2.71-2.93, 3 Tc 2.77-3.00, 2 In 3.02
In  0.6363  0.5000  0.8537  5 Rh 2.75-3.06, 5 Tc 2.80-2.92, 2 In 3.02
In  0.6363  0.0000  0.3537  5 Rh 2.75-3.06, 5 Tc 2.80-2.92, 2 In 3.02
Tc  0.3342  0.5000  0.1724  2 Tc 2.48, 2 Rh 2.71-2.76
Tc  0.3342  0.0000  0.6724  2 Tc 2.48, 2 Rh 2.71-2.76
Tc  0.4432  0.0000  0.0296  2 Tc 2.48, 1 In 2.77
Tc  0.4432  0.5000  0.5296  2 Tc 2.48, 1 In 2.77

---

What E_tot values result from the calculations? In sequence: -6.8720 -6.8193 eV/atom.
What distance to the lowest polymorph of the same formula values result from the calculations? In sequence: 0.023 0.075 eV per atom.
What DFT formation energy values result from the calculations? In sequence: -53.4 -0.7 meV per atom.